The following is a DFT calculation (PBE) of a relaxed ZrIn2Ni crystal.

CIF file:
```
data_ZrIn2Ni
_chemical_formula_sum 'Zr1 In2 Ni1'
_cell_length_a 5.831
_cell_length_b 5.831
_cell_length_c 5.831
_cell_angle_alpha 145.64
_cell_angle_beta 133.20
_cell_angle_gamma 59.33
_symmetry_space_group_name_H-M 'P 1'
_symmetry_Int_Tables_number 1
loop_
_symmetry_equiv_pos_as_xyz
'x,y,z'
loop_
_atom_site_label
_atom_site_fract_x
_atom_site_fract_y
_atom_site_fract_z
In1 0.710 0.210 0.500
In2 0.003 0.003 0.000
Zr1 0.293 0.793 0.500
Ni1 0.495 0.495 0.000
```

## Properties
The calculated total energy comes out at -5.03 eV/atom. The value obtained for the theoretical density is 7.80 g/cm3. The crystal system is orthorhombic. For the energy of formation, the calculation gives -0.08 eV per atom.



The following is a DFT calculation (PBE) of a relaxed ZrIn2Ni2 crystal.

CIF file:
```
data_ZrIn2Ni2
_chemical_formula_sum 'Zr1 In2 Ni2'
_cell_length_a 3.911
_cell_length_b 3.911
_cell_length_c 6.633
_cell_angle_alpha 72.86
_cell_angle_beta 72.86
_cell_angle_gamma 90.00
_symmetry_space_group_name_H-M 'P 1'
_symmetry_Int_Tables_number 1
loop_
_symmetry_equiv_pos_as_xyz
'x,y,z'
loop_
_atom_site_label
_atom_site_fract_x
_atom_site_fract_y
_atom_site_fract_z
In1 0.616 0.616 0.767
In2 0.384 0.384 0.233
Ni1 0.750 0.250 0.500
Ni2 0.250 0.750 0.500
Zr1 0.000 0.000 0.000
```

## Properties
The calculated total energy comes out at -5.07 eV/atom. The value obtained for the theoretical density is 7.89 g/cm3. The value obtained for the energy above the lowest structure with this stoichiometry is 205 meV/atom. The crystal system is tetragonal. For the energy of formation, the calculation gives 0.04 eV per atom.